Crystalline LiCa3Pm2Se6 at its relaxed geometry. Source: Alexandria, functional PBE-GGA.

Unit cell a=7.2338 b=12.5215 c=7.2569 alpha=90.00 beta=109.45 gamma=90.00
Closest atoms and distances in Å follow each position.
Space group C2/m (No. 12)
One atom of each set of equivalent atoms:
Li1 0.0000 0.0000 0.0000 [2 per cell]  6 Se 2.92
Ca1 0.0000 0.1669 0.5000 [4 per cell]  6 Se 2.96-2.99
Ca2 0.0000 0.5000 0.5000 [2 per cell]  6 Se 2.96-2.99
Pm1 0.0000 0.3335 0.0000 [4 per cell]  6 Se 2.95-2.96
Se1 0.2471 0.0000 0.7528 [4 per cell]  1 Li 2.92, 2 Pm 2.95, 3 Ca 2.96-2.99
Se2 0.2472 0.1648 0.2472 [8 per cell]  1 Li 2.92, 3 Ca 2.96-2.99, 2 Pm 2.96

Summary:
Energy relative to the elements, uncorrected: -1.86 eV per atom
N(E_F): 7.39 states/eV per cell
Spin magnetization: 0.0 μB/cell